# PBE Ac10Sn3Bi3, optimized geometry
# Fermi-level density of states: 1.1027 states/eV/atom
# DFT formation energy: -0.666 eV/atom
# final energy: -75.39 eV for the cell shown
data_Ac10Sn3Bi3
_chemical_formula_sum 'Ac10 Sn3 Bi3'
_symmetry_space_group_name_H-M 'P -6 2 m'
_symmetry_Int_Tables_number 189
_symmetry_space_group_name_Hall 'P -6 -2'
_cell_length_a 9.9779
_cell_length_b 9.9779
_cell_length_c 7.2176
_cell_angle_alpha 90.00
_cell_angle_beta 90.00
_cell_angle_gamma 120.00
loop_
_atom_site_label
_atom_site_type_symbol
_atom_site_fract_x
_atom_site_fract_y
_atom_site_fract_z
Ac1 Ac 0.0000 0.2452 0.0000
Ac2 Ac 0.0000 0.7548 0.5000
Ac3 Ac 0.3333 0.6667 0.2524
Sn1 Sn 0.0000 0.3914 0.5000
Bi1 Bi 0.0000 0.6097 0.0000

=====

# PBE AcSnBi, optimized geometry
# Fermi-level density of states: 0.4547 states/eV/atom
# excess energy over the best structure of this formula in the dataset: 0 meV per atom
# DFT formation energy: -0.685 eV/atom
# final energy: -56.19 eV for the cell shown
data_AcSnBi
_chemical_formula_sum 'Ac4 Sn4 Bi4'
_symmetry_space_group_name_H-M 'C m c m'
_symmetry_Int_Tables_number 63
_symmetry_space_group_name_Hall '-C 2c 2'
_cell_length_a 4.816
_cell_length_b 18.620
_cell_length_c 4.583
_cell_angle_alpha 90.00
_cell_angle_beta 90.00
_cell_angle_gamma 90.00
loop_
_atom_site_label
_atom_site_type_symbol
_atom_site_fract_x
_atom_site_fract_y
_atom_site_fract_z
Ac1 Ac 0.000 0.104 0.250
Sn1 Sn 0.000 0.449 0.250
Bi1 Bi 0.000 0.252 0.750